A relaxed structure of K2VAuO. Source: Alexandria via LeMat-Bulk, functional PBE+U.

abc: 5.816 4.167 5.816
angles: 90.00 90.00 90.00
Last column: magnetic moment on the atom in μB.
Fractional coordinates of all 5 atoms:
Au1 0.000 0.500 0.000  0.04
K1 0.500 0.000 0.000  0.01
K2 0.000 0.000 0.500  0.02
O1 0.000 0.000 0.000  0.02
V1 0.500 0.500 0.500  3.15

Output
Space group: No. 123
Electronic total energy: -3.249 eV per atom